PBE HoTm5S6, optimized geometry; DFT total energy = -6.25 eV/atom; total magnetization = 0.0 μB/f.u.; DOS(E_F) = 4.10 states/eV/cell; space group = No. 12
1.0
3.332 -5.787 0.000
3.332 5.787 0.000
-2.240 0.000 6.263
Ho Tm S
1 5 6
Direct
0.000 0.000 0.000
0.165 0.835 0.500
0.334 0.666 0.000
0.500 0.500 0.500
0.666 0.334 0.000
0.835 0.165 0.500
0.084 0.420 0.252
0.252 0.252 0.749
0.420 0.084 0.252
0.580 0.916 0.748
0.748 0.748 0.251
0.916 0.580 0.748

PBE Ca2TbY, optimized geometry; DFT total energy = -3.60 eV/atom; total magnetization = 0.0 μB/f.u.; energy relative to the elements = 0.17 eV per atom; DOS(E_F) = 8.16 states/eV/cell; energy above the lowest structure with this stoichiometry = 50 meV per atom; space group = No. 123
1.0
5.077 0.000 0.000
0.000 5.077 0.000
0.000 0.000 5.552
Ca Tb Y
2 1 1
Direct
0.000 0.500 0.000
0.500 0.000 0.000
0.000 0.000 0.500
0.500 0.500 0.500

PBE Y2NpAg3Se6, optimized geometry; DFT total energy = -5.62 eV/atom; total magnetization = 4.0 μB/f.u.; DOS(E_F) = 7.51 states/eV/cell; space group = No. 12
1.0
8.852 -2.102 0.000
8.852 2.102 0.000
-1.299 0.000 7.902
Y Np Ag Se
2 1 3 6
Direct
0.167 0.167 0.343
0.833 0.833 0.657
0.500 0.500 0.000
0.158 0.158 0.857
0.500 0.500 0.500
0.842 0.842 0.143
0.002 0.002 0.252
0.331 0.331 0.410
0.332 0.332 0.905
0.668 0.668 0.095
0.669 0.669 0.590
0.998 0.998 0.748

PBE In2IrOs, optimized geometry; DFT total energy = -5.93 eV/atom; total magnetization = 0.0 μB/f.u.; energy relative to the elements = 0.46 eV per atom; DOS(E_F) = 4.45 states/eV/cell; space group = No. 119
1.0
-2.009 2.009 4.315
2.009 -2.009 4.315
2.009 2.009 -4.315
In Ir Os
2 1 1
Direct
0.000 0.000 0.000
0.750 0.250 0.500
0.250 0.750 0.500
0.500 0.500 0.000

PBE SbAsWI2, optimized geometry; DFT total energy = -3.93 eV/atom; total magnetization = 0.6 μB/f.u.; DOS(E_F) = 6.26 states/eV/cell; energy above the lowest structure with this stoichiometry = 0 meV per atom; space group = No. 123
1.0
5.288 0.000 0.000
0.000 5.288 0.000
0.000 0.000 5.456
Sb As W I
1 1 1 2
Direct
0.000 0.000 0.000
0.500 0.500 0.000
0.000 0.000 0.500
0.000 0.500 0.500
0.500 0.000 0.500

PBE Cs2K5Rb4, optimized geometry; DFT total energy = -0.98 eV/atom; total magnetization = 0.0 μB/f.u.; energy relative to the elements = 0.03 eV per atom; DOS(E_F) = 9.62 states/eV/cell; energy above the lowest structure with this stoichiometry = 7 meV per atom; space group = No. 12
1.0
8.923 -4.568 0.000
8.923 4.568 0.000
-8.333 0.000 11.865
Cs K Rb
2 5 4
Direct
0.159 0.159 0.216
0.841 0.841 0.784
0.249 0.718 0.335
0.282 0.751 0.665
0.500 0.500 0.000
0.718 0.249 0.335
0.751 0.282 0.665
0.240 0.240 0.962
0.244 0.244 0.613
0.756 0.756 0.387
0.760 0.760 0.038

PBE CaHf2TiCd, optimized geometry; DFT total energy = -4.48 eV/atom; total magnetization = 2.1 μB/f.u.; energy relative to the elements = 1.66 eV per atom; DOS(E_F) = 5.63 states/eV/cell; space group = No. 123
1.0
5.133 0.000 0.000
0.000 5.133 0.000
0.000 0.000 4.662
Ca Hf Ti Cd
1 2 1 1
Direct
0.000 0.000 0.000
0.000 0.500 0.000
0.500 0.000 0.000
0.000 0.000 0.500
0.500 0.500 0.500

PBE Tl3CrBr, optimized geometry; DFT total energy = -3.11 eV/atom; total magnetization = 4.9 μB/f.u.; DOS(E_F) = 2.28 states/eV/cell; energy above the lowest structure with this stoichiometry = 407 meV per atom; space group = No. 221
1.0
6.032 0.000 0.000
0.000 6.032 0.000
0.000 0.000 6.032
Tl Cr Br
3 1 1
Direct
0.000 0.000 0.500
0.000 0.500 0.000
0.500 0.000 0.000
0.500 0.500 0.500
0.000 0.000 0.000

PBE CuSiHRh2, optimized geometry; DFT total energy = -5.82 eV/atom; total magnetization = 0.0 μB/f.u.; DOS(E_F) = 0.81 states/eV/cell; space group = No. 123
1.0
3.976 0.000 0.000
0.000 3.976 0.000
0.000 0.000 3.474
Cu Si H Rh
1 1 1 2
Direct
0.000 0.000 0.000
0.500 0.500 0.000
0.000 0.000 0.500
0.000 0.500 0.500
0.500 0.000 0.500

PBE Li4Pa3VN8, optimized geometry; DFT total energy = -8.05 eV/atom; total magnetization = 0.0 μB/f.u.; space group = No. 166
1.0
3.390 1.957 5.073
-3.390 1.957 5.073
0.000 -3.915 5.073
Li Pa V N
4 3 1 8
Direct
0.000 0.000 0.000
0.000 0.500 0.500
0.500 0.000 0.500
0.500 0.500 0.000
0.000 0.000 0.500
0.000 0.500 0.000
0.500 0.000 0.000
0.500 0.500 0.500
0.240 0.240 0.240
0.259 0.725 0.725
0.275 0.275 0.741
0.275 0.741 0.275
0.725 0.259 0.725
0.725 0.725 0.259
0.741 0.275 0.275
0.760 0.760 0.760

PBE NiB2Cl, optimized geometry; DFT total energy = -4.32 eV/atom; total magnetization = 0.0 μB/f.u.; DOS(E_F) = 4.69 states/eV/cell; energy above the lowest structure with this stoichiometry = 0 meV per atom; space group = No. 122
1.0
-2.452 2.452 4.598
2.452 -2.452 4.598
2.452 2.452 -4.598
Ni B Cl
2 4 2
Direct
0.000 0.000 0.000
0.750 0.250 0.500
0.058 0.625 0.933
0.375 0.308 0.433
0.692 0.125 0.067
0.875 0.942 0.567
0.250 0.750 0.500
0.500 0.500 0.000